Below is a crystal of Cu5Pt7 relaxed with PBEsol, with properties calculated at the meta-GGA SCAN level.

Its total magnetization is 0.0 μB/cell. The calculated formation energy is -0.12 eV/atom. Its relative energy among the computed polymorphs is 3.8 meV/atom. Its raw total energy is -47.402 eV per atom.

The structure belongs to space group P1 (No. 1); the cell edges are 4.628, 5.384 and 6.578 Å and the angles 90.48°, 90.06° and 90.00°. The asymmetric unit holds Cu at (0.000, 0.000, 0.000), Cu at (0.002, 0.511, 0.998), Cu at (0.167, 0.752, 0.336), Cu at (0.332, 0.506, 0.670), Cu at (0.835, 0.754, 0.670), Pt at (0.167, 0.257, 0.335), Pt at (0.327, 0.992, 0.670), Pt at (0.497, 0.256, 0.998), Pt at (0.499, 0.752, 0.000), Pt at (0.669, 0.508, 0.335), Pt at (0.674, 0.000, 0.335) and Pt at (0.838, 0.263, 0.673).